Entry 1:
TeOsW | PBE | relaxed

As for the total magnetic moment: 0.000 μB/f.u. The value obtained for the volume is 18.8 A^3/atom. For the total energy, the calculation gives -8.175 eV/atom. For the energy relative to the lowest polymorph listed for this composition, the calculation gives 401 meV per atom.

It has space group Fmm2 (No. 42), with a = 3.1868 Å, b = 4.9479 Å, c = 14.3406 Å, α = 90.00°, β = 90.00° and γ = 90.00°. The distinct sites, in fractional coordinates, are Te at (0.0000, 0.0000, 0.0000), Os at (0.0000, 0.0000, 0.3152) and W at (0.0000, 0.0000, 0.6800).

=====

Entry 2:
TeOsW2 | PBE | relaxed

As for the total magnetic moment: 0.000 μB/f.u. The value obtained for the volume is 16.8 A^3/atom. For the total energy, the calculation gives -9.214 eV/atom.

It has space group I-4m2 (No. 119), with a = 4.0291 Å, b = 4.0291 Å, c = 8.2761 Å, α = 90.00°, β = 90.00° and γ = 90.00°. The distinct sites, in fractional coordinates, are Te at (0.0000, 0.0000, 0.0000), Os at (0.0000, 0.5000, 0.2500), W at (0.0000, 0.0000, 0.5000) and W at (0.0000, 0.5000, 0.7500).

=====

Please write out number 2 again, unchanged.
TeOsW2 | PBE | relaxed

As for the total magnetic moment: 0.000 μB/f.u. The value obtained for the volume is 16.8 A^3/atom. For the total energy, the calculation gives -9.214 eV/atom.

It has space group I-4m2 (No. 119), with a = 4.0291 Å, b = 4.0291 Å, c = 8.2761 Å, α = 90.00°, β = 90.00° and γ = 90.00°. The distinct sites, in fractional coordinates, are Te at (0.0000, 0.0000, 0.0000), Os at (0.0000, 0.5000, 0.2500), W at (0.0000, 0.0000, 0.5000) and W at (0.0000, 0.5000, 0.7500).

=====

Q: Number 2 is which compound?
A: TeOsW2

=====

Q: Look up the volume of the second one.
A: 16.8 A^3/atom